DFT (meta-GGA SCAN) results for a PBEsol-optimized structure of InNi3N.

The structure in extended XYZ format:
```
5
Lattice="3.812 0.000 0.000 0.000 3.812 0.000 0.000 0.000 3.812" Properties=species:S:1:pos:R:3 pbc="T T T"
In 0.000 0.000 0.000
Ni 0.000 1.906 1.906
Ni 1.906 0.000 1.906
Ni 1.906 1.906 0.000
N 1.906 1.906 1.906
```

Results
- Space-group type: Pm-3m (221)
- Formation energy without anion corrections: -0.119 eV per atom
- Volume: 55.4 Å³/cell
- VASP energy: -91.79 eV for the cell shown